A geometry-optimized CeErPt6 structure. Source: Alexandria via LeMat-Bulk, functional PBE.

Cell: 4.136 4.136 8.259 Å, 90.00 90.00 90.00°
Element x y z (fractional)
Ce 0.000 0.000 0.000
Er 0.000 0.000 0.500
Pt 0.500 0.500 0.000
Pt 0.500 0.500 0.500
Pt 0.500 0.000 0.250
Pt 0.500 0.000 0.750
Pt 0.000 0.500 0.250
Pt 0.000 0.500 0.750

A geometry-optimized CeErPt4 structure. Source: Alexandria via LeMat-Bulk, functional PBE.

Results
ΔE to the lowest computed polymorph in meV per atom: 19

Cell: 5.453 5.453 5.453 Å, 60.00 60.00 60.00°
Element x y z (fractional)
Ce 0.250 0.250 0.250
Pt 0.625 0.625 0.124
Pt 0.625 0.124 0.625
Pt 0.625 0.625 0.625
Pt 0.124 0.625 0.625
Er 0.000 0.000 0.000

A geometry-optimized Ce2ErPt3 structure. Source: Alexandria via LeMat-Bulk, functional PBE.

Cell: 5.792 8.218 7.096 Å, 106.81 114.09 90.00°
Element x y z (fractional)
Ce 0.668 0.584 0.334
Ce 0.666 0.084 0.334
Ce 0.334 0.916 0.666
Ce 0.332 0.416 0.666
Er 0.998 0.750 0.000
Er 0.002 0.250 0.000
Pt 0.502 0.250 0.000
Pt 0.498 0.750 0.000
Pt 0.165 0.083 0.331
Pt 0.834 0.417 0.669
Pt 0.166 0.583 0.331
Pt 0.835 0.917 0.669

A geometry-optimized CeEr2Pt structure. Source: Alexandria via LeMat-Bulk, functional PBE.

Results
ΔE to the lowest computed polymorph in meV per atom: 125

Cell: 3.849 3.849 9.474 Å, 78.28 78.28 60.00°
Element x y z (fractional)
Ce 0.502 0.502 0.495
Er 0.060 0.060 0.821
Er 0.273 0.273 0.182
Pt 0.666 0.666 0.002

no.,ΔH_f (0 K) (eV per atom)
1,-1.0470
2,-1.0762
3,-1.0951
4,-0.4631